A geometry-optimized CaV2Au structure, computed with PBE.

The space group is I-42d (No. 122) and the conventional cell measures 4.212, 4.212 and 20.132 Å, with angles of 90.00, 90.00 and 90.00 degrees. The inequivalent atoms are Ca at (0.000, 0.000, 0.000), V at (0.020, 0.750, 0.625) and Au at (0.000, 0.000, 0.500).

The total moment is 0.00 μB per formula unit. The calculation puts the energy above the most stable polymorph in this dataset at 0.0 kJ per mole of atoms. The crystal system is tetragonal. Its total DFT energy (no corrections) is -85.99 eV per cell. For the formation energy, the calculation gives 0.5046 eV per atom. For the volume, the calculation gives 89.3 Å³/f.u.